# 1
Entry from Alexandria via LeMat-Bulk: crystalline CoTe2Se at its relaxed geometry (PBEsol).

The theoretical density is 7.9 g/cm³. Its raw formation energy is -0.041 eV/atom. The calculation puts the total magnetic moment at 0.00 Bohr magnetons per cell.

It has space group R-3m (No. 166, hexagonal axes), with a = 3.6963 Å, b = 3.6963 Å, c = 21.0089 Å, α = 90.00°, β = 90.00° and γ = 120.00°. Symmetry generates all atoms from Co at (0.0000, 0.0000, 0.0000), Te at (0.0000, 0.0000, 0.2684) and Se at (0.0000, 0.0000, 0.5000).

# 2
Entry from Alexandria via LeMat-Bulk: crystalline BaAlH3 at its relaxed geometry (PBEsol).

The theoretical density is 2.5 g/cm³. The total energy is -2.72 eV/atom. The calculation puts the total magnetic moment at 0.00 Bohr magnetons per cell.

It has space group Pm-3m (No. 221), with a = 4.835 Å, b = 4.835 Å, c = 4.835 Å, α = 90.00°, β = 90.00° and γ = 90.00°. Symmetry generates all atoms from Ba at (0.000, 0.000, 0.000), Al at (0.500, 0.500, 0.500) and H at (0.000, 0.000, 0.500).

# 3
Entry from Alexandria via LeMat-Bulk: crystalline Mo3Pt at its relaxed geometry (PBEsol).

The theoretical density is 13.3 g/cm³. The calculation puts the total magnetic moment at 0.00 Bohr magnetons per cell. The calculation puts the formation energy at -109 meV/atom. Its energy above the lowest structure with this stoichiometry is 0.018 eV per atom.

It has space group Pm-3m (No. 221), with a = 3.920 Å, b = 3.920 Å, c = 3.920 Å, α = 90.00°, β = 90.00° and γ = 90.00°. Symmetry generates all atoms from Mo at (0.000, 0.000, 0.500) and Pt at (0.500, 0.500, 0.500).